Rb2In2Ag3 | PBE | relaxed

## Properties
The formation energy comes out at -5 kJ/mol of atoms.

Cell lengths 4.9360, 6.7313, 7.5573 Å; angles 100.71, 108.35, 90.22 degrees
Space group P-1 (No. 2)
One atom of each set of equivalent atoms:
Rb  0.1418  0.0485  0.2699 [2 per cell]
In  0.3930  0.4602  0.7875 [2 per cell]
Ag  0.0000  0.5000  0.0000 [1 per cell]
Ag  0.2081  0.5600  0.4166 [2 per cell]